# 1
VASP calculation (PBE) on BiPd2RuCl after structural relaxation.

## Properties
Formation energy from raw total energies, eV/f.u.: 4.04
DOS(E_F), states/eV/f.u.: 7.11
Energy, eV per atom: -4.270

Unit cell a=4.8973 b=5.1841 c=4.8973 alpha=90.00 beta=90.00 gamma=90.00
Fractional positions:
Ru 0.0000 0.0000 0.0000
Bi 0.0000 0.5000 0.0000
Pd 0.0000 0.0000 0.5000
Pd 0.5000 0.0000 0.0000
Cl 0.5000 0.5000 0.5000


# 2
VASP calculation (PBE) on Tl3InAs after structural relaxation.

## Properties
Formation energy from the elements, eV/atom: 0.560
Energy above the most stable polymorph in this dataset, eV per formula unit: 1.06
DOS(E_F), states/eV/f.u.: 2.78
Energy, eV per atom: -2.338

Unit cell a=5.6993 b=5.6993 c=5.6993 alpha=90.00 beta=90.00 gamma=90.00
Site moments in Bohr magnetons follow the coordinates.
Fractional positions:
Tl 0.0000 0.5000 0.0000  -0.01
Tl 0.0000 0.0000 0.5000  -0.01
Tl 0.5000 0.0000 0.0000  -0.02
As 0.5000 0.5000 0.5000  0.36
In 0.0000 0.0000 0.0000  0.01


# 3
VASP calculation (PBE) on HfBiPb2 after structural relaxation.

## Properties
Formation energy from the elements, eV/atom: 0.652
DOS(E_F), states/eV/f.u.: 3.85
Energy, eV per atom: -4.661

Unit cell a=6.5984 b=6.5984 c=8.8023 alpha=67.99 beta=67.99 gamma=90.00
Fractional positions:
Pb 0.5940 0.1250 0.2500
Pb 0.1560 0.6250 0.2500
Pb 0.3750 0.4060 0.7500
Pb 0.8750 0.8440 0.7500
Hf 0.5000 0.5000 0.0000
Hf 0.2500 0.7500 0.5000
Bi 0.0000 0.0000 0.0000
Bi 0.7500 0.2500 0.5000


# 4
VASP calculation (PBE) on RbTe2N2 after structural relaxation.

## Properties
Formation energy from raw total energies, eV/f.u.: 5.91
Energy above the most stable polymorph in this dataset, eV per formula unit: 0.00
DOS(E_F), states/eV/f.u.: 2.18
Energy, eV per atom: -3.598

Unit cell a=4.6472 b=4.6472 c=5.9046 alpha=90.00 beta=90.00 gamma=90.00
Site moments in Bohr magnetons follow the coordinates.
Fractional positions:
Te 0.0000 0.0000 0.0000  -0.05
Te 0.0000 0.0000 0.5000  0.18
Rb 0.5000 0.5000 0.5000  0.01
N 0.0000 0.5000 0.0000  0.93
N 0.5000 0.0000 0.0000  0.93


# 5
VASP calculation (PBE) on LiNdPPt after structural relaxation.

## Properties
Formation energy from the elements, eV/atom: -0.776
DOS(E_F), states/eV/f.u.: 2.44
Energy, eV per atom: -5.309

Unit cell a=4.1938 b=4.1938 c=9.5315 alpha=90.00 beta=90.00 gamma=90.00
Fractional positions:
Li 0.0000 0.0000 0.5000
Li 0.5000 0.5000 0.5000
Nd 0.0000 0.5000 0.8309
Nd 0.5000 0.0000 0.1691
P 0.5000 0.0000 0.8743
P 0.0000 0.5000 0.1257
Pt 0.0000 0.5000 0.3620
Pt 0.5000 0.0000 0.6380


# 6
VASP calculation (PBE) on CaZr2Ti after structural relaxation.

## Properties
Formation energy from the elements, eV/atom: 0.739
Energy above the most stable polymorph in this dataset, eV per formula unit: 1.62
DOS(E_F), states/eV/f.u.: 6.87
Energy, eV per atom: -6.009

Unit cell a=4.3290 b=4.3290 c=10.9565 alpha=78.61 beta=78.61 gamma=90.00
Fractional positions:
Ca 0.5000 0.5000 0.0000
Ca 0.2500 0.7500 0.5000
Zr 0.1051 0.1250 0.2500
Zr 0.6449 0.6250 0.2500
Zr 0.3750 0.8949 0.7500
Zr 0.8750 0.3551 0.7500
Ti 0.0000 0.0000 0.0000
Ti 0.7500 0.2500 0.5000


# 7
VASP calculation (PBE) on DyO3 after structural relaxation.

## Properties
Formation energy from raw total energies, eV/f.u.: -5.89
DOS(E_F), states/eV/f.u.: 3.52
Energy, eV per atom: -6.341

Unit cell a=4.6660 b=4.6660 c=4.6494 alpha=90.00 beta=90.00 gamma=120.00
Site moments in Bohr magnetons follow the coordinates.
Fractional positions:
Dy 0.3333 0.6667 0.7500  -0.01
Dy 0.6667 0.3333 0.2500  -0.01
O 0.1810 0.3620 0.2500  0.07
O 0.6380 0.8190 0.2500  0.07
O 0.1810 0.8190 0.2500  0.07
O 0.8190 0.6380 0.7500  0.07
O 0.3620 0.1810 0.7500  0.07
O 0.8190 0.1810 0.7500  0.07


# 8
VASP calculation (PBE) on Sr3DyCd4 after structural relaxation.

## Properties
Formation energy from the elements, eV/atom: -0.318
DOS(E_F), states/eV/f.u.: 6.46
Energy, eV per atom: -1.982

Unit cell a=3.9384 b=3.9384 c=16.1524 alpha=90.00 beta=90.00 gamma=90.00
Fractional positions:
Sr 0.5000 0.5000 0.2393
Sr 0.5000 0.5000 0.5000
Sr 0.5000 0.5000 0.7607
Cd 0.0000 0.0000 0.8958
Cd 0.0000 0.0000 0.1042
Cd 0.0000 0.0000 0.3698
Cd 0.0000 0.0000 0.6302
Dy 0.5000 0.5000 0.0000


# 9
VASP calculation (PBE) on SnTeOs3 after structural relaxation.

## Properties
Formation energy from raw total energies, eV/f.u.: 11.04
Energy above the most stable polymorph in this dataset, eV per formula unit: 0.00
DOS(E_F), states/eV/f.u.: 5.61
Energy, eV per atom: -5.959

Unit cell a=4.8523 b=4.8523 c=4.8523 alpha=90.00 beta=90.00 gamma=90.00
Fractional positions:
Te 0.0000 0.0000 0.0000
Os 0.0000 0.5000 0.0000
Os 0.0000 0.0000 0.5000
Os 0.5000 0.0000 0.0000
Sn 0.5000 0.5000 0.5000


# 10
VASP calculation (PBE) on ScIrSe2 after structural relaxation.

## Properties
Formation energy from raw total energies, eV/f.u.: -2.70
Energy above the most stable polymorph in this dataset, eV per formula unit: 0.88
DOS(E_F), states/eV/f.u.: 1.68
Energy, eV per atom: -6.216

Unit cell a=6.7782 b=6.7782 c=6.7782 alpha=150.62 beta=149.26 gamma=43.04
Fractional positions:
Ir 0.5103 0.5103 0.0000
Sc 0.3074 0.8074 0.5000
Se 0.9672 0.9672 0.0000
Se 0.7151 0.2151 0.5000


# 11
VASP calculation (PBE) on ScTaW after structural relaxation.

## Properties
Formation energy from the elements, eV/atom: 0.277
Energy above the most stable polymorph in this dataset, eV per formula unit: 0.40
DOS(E_F), states/eV/f.u.: 3.23
Energy, eV per atom: -10.102

Unit cell a=4.9848 b=4.9848 c=4.9848 alpha=147.52 beta=122.61 gamma=67.51
Fractional positions:
Sc 0.9997 0.9997 0.0000
Ta 0.3362 0.3362 0.0000
W 0.6641 0.6641 0.0000


# 12
VASP calculation (PBE) on Sc2CdTc after structural relaxation.

## Properties
Formation energy from the elements, eV/atom: -0.048
DOS(E_F), states/eV/f.u.: 4.28
Energy, eV per atom: -6.034

Unit cell a=5.3195 b=5.3195 c=5.3195 alpha=133.88 beta=133.88 gamma=67.28
Fractional positions:
Cd 0.7500 0.2500 0.5000
Sc 0.0000 0.0000 0.0000
Sc 0.2500 0.7500 0.5000
Tc 0.5000 0.5000 0.0000


# 13
VASP calculation (PBE) on H2S6Cl after structural relaxation.

## Properties
DOS(E_F), states/eV/f.u.: 1.93
Energy, eV per atom: -3.668

Unit cell a=14.5425 b=8.4488 c=8.8156 alpha=76.94 beta=23.17 gamma=59.01
Fractional positions:
H 0.9276 0.3483 0.0578
H 0.0724 0.6517 0.9422
S 0.1733 0.4357 0.8428
S 0.7147 0.2873 0.7415
S 0.8267 0.5643 0.1572
S 0.5881 0.1830 0.8168
S 0.2853 0.7127 0.2585
S 0.4119 0.8170 0.1832
Cl 0.0000 0.0000 0.0000


# 14
VASP calculation (PBE) on GaCoSn2Au after structural relaxation.

## Properties
Formation energy from the elements, eV/atom: 0.007
DOS(E_F), states/eV/f.u.: 2.30
Energy, eV per atom: -4.276

Unit cell a=4.8831 b=4.8831 c=4.5621 alpha=90.00 beta=90.00 gamma=90.00
Fractional positions:
Co 0.0000 0.0000 0.0000
Au 0.5000 0.5000 0.5000
Sn 0.0000 0.5000 0.0000
Sn 0.5000 0.0000 0.0000
Ga 0.0000 0.0000 0.5000


# 15
VASP calculation (PBE) on Pm4Pr5Y4 after structural relaxation.

## Properties
Formation energy from the elements, eV/atom: 0.014
DOS(E_F), states/eV/f.u.: 19.22
Energy, eV per atom: -5.275

Unit cell a=5.1518 b=9.6769 c=9.6769 alpha=85.94 beta=74.56 gamma=74.56
Fractional positions:
Pm 0.9239 0.4608 0.6914
Pm 0.6153 0.3086 0.4609
Pm 0.0761 0.5392 0.3086
Pm 0.3847 0.6914 0.5391
Pr 0.6931 0.8464 0.7674
Pr 0.3069 0.1536 0.2326
Pr 0.0000 0.0000 0.0000
Pr 0.5395 0.7674 0.1536
Pr 0.4605 0.2326 0.8464
Y 0.7678 0.3866 0.0778
Y 0.2322 0.6134 0.9222
Y 0.8456 0.9222 0.3866
Y 0.1544 0.0778 0.6134


# 16
VASP calculation (PBE) on La4CuAu after structural relaxation.

## Properties
Formation energy from the elements, eV/atom: 0.433
Energy above the most stable polymorph in this dataset, eV per formula unit: 4.38
DOS(E_F), states/eV/f.u.: 8.95
Energy, eV per atom: -4.081

Unit cell a=6.3307 b=6.3307 c=6.3307 alpha=60.00 beta=60.00 gamma=60.00
Fractional positions:
La 0.8742 0.3753 0.3753
La 0.3753 0.3753 0.8742
La 0.3753 0.8742 0.3753
La 0.3753 0.3753 0.3753
Cu 0.0000 0.0000 0.0000
Au 0.7500 0.7500 0.7500


# 17
VASP calculation (PBE) on ZrNi2Pb after structural relaxation.

## Properties
Formation energy from the elements, eV/atom: 0.087
DOS(E_F), states/eV/f.u.: 2.82
Energy, eV per atom: -5.868

Unit cell a=7.2792 b=7.2792 c=7.2792 alpha=28.10 beta=28.10 gamma=28.10
Fractional positions:
Ni 0.9959 0.9959 0.9959
Ni 0.5041 0.5041 0.5041
Pb 0.7500 0.7500 0.7500
Zr 0.2500 0.2500 0.2500


# 18
VASP calculation (PBE) on CaAgW2 after structural relaxation.

## Properties
Formation energy from the elements, eV/atom: 0.649
Energy above the most stable polymorph in this dataset, eV per formula unit: 0.66
DOS(E_F), states/eV/f.u.: 2.97
Energy, eV per atom: -7.041

Unit cell a=2.7612 b=2.7612 c=9.6845 alpha=90.00 beta=90.00 gamma=90.00
Fractional positions:
Ca 0.5000 0.5000 0.7476
Ag 0.0000 0.0000 0.4811
W 0.0000 0.0000 0.0185
W 0.5000 0.5000 0.2528


# 19
VASP calculation (PBE) on TmLu2Cl after structural relaxation.

## Properties
Formation energy from raw total energies, eV/f.u.: -2.42
DOS(E_F), states/eV/f.u.: 4.56
Energy, eV per atom: -4.446

Unit cell a=3.5344 b=3.5344 c=9.9461 alpha=79.77 beta=79.77 gamma=60.00
Fractional positions:
Lu 0.7407 0.7407 0.7778
Lu 0.2593 0.2593 0.2222
Tm 0.5000 0.5000 0.5000
Cl 0.0000 0.0000 0.0000


# 20
VASP calculation (PBE) on SiOsSe2 after structural relaxation.

## Properties
Formation energy from raw total energies, eV/f.u.: 3.30
DOS(E_F), states/eV/f.u.: 3.22
Energy, eV per atom: -5.080

Unit cell a=2.9648 b=4.6430 c=4.7626 alpha=90.00 beta=90.00 gamma=90.00
Fractional positions:
Os 0.0000 0.5000 0.5000
Se 0.0000 0.0000 0.0000
Se 0.5000 0.5000 0.0000
Si 0.5000 0.0000 0.5000